(1)
{
  "formula": "YAlSe3",
  "functional": "PBE-GGA",
  "state": "optimized geometry",
  "final_energy_ev_per_atom": -4.710,
  "de_polymorph_ev_per_fu": 3.96,
  "raw_formation_energy_kcal_per_mol_atoms": -13.33,
  "mass_density_kg_m3": 3634,
  "n_ef_per_ev_fu": 2.270,
  "lattice": [[2.6186, -6.8692, 0.0000], [2.6186, 6.8692, 0.0000], [0.0000, 0.0000, 8.9607]],
  "species": ["Se", "Al", "Se", "Y", "Se", "Se", "Se", "Y", "Al", "Se"],
  "fractional_positions": [[0.5457, 0.9742, 0.2500], [0.5568, 0.4432, 0.7500], [0.0258, 0.4543, 0.2500], [0.1070, 0.8930, 0.2500], [0.9742, 0.5457, 0.7500], [0.0000, 0.0000, 0.5000], [0.0000, 0.0000, 0.0000], [0.8930, 0.1070, 0.7500], [0.4432, 0.5568, 0.2500], [0.4543, 0.0258, 0.7500]]
}



(2)
{
  "formula": "Ca5Pr",
  "functional": "PBE-GGA",
  "state": "optimized geometry",
  "final_energy_ev_per_atom": -2.433,
  "de_polymorph_ev_per_fu": 0.00,
  "mass_density_kg_m3": 2319,
  "e_form_mev_per_atom": 32,
  "n_ef_per_ev_fu": 8.352,
  "lattice": [[-0.0019, -1.6405, 3.4620], [0.7908, -2.0919, -3.1106], [18.6724, 4.1317, 1.9682]],
  "species": ["Ca", "Pr", "Ca", "Ca", "Ca", "Ca"],
  "fractional_positions": [[0.0000, 0.0000, 0.6692], [0.0000, 0.0000, 0.0000], [0.6667, 0.3333, 0.5000], [0.0000, 0.0000, 0.3308], [0.6667, 0.3333, 0.8388], [0.6667, 0.3333, 0.1612]]
}



(3)
{
  "formula": "TmPuIrPt",
  "functional": "PBE-GGA",
  "state": "optimized geometry",
  "final_energy_ev_per_atom": -9.225,
  "mass_density_kg_m3": 16268,
  "e_form_mev_per_atom": -798,
  "n_ef_per_ev_fu": 10.014,
  "lattice": [[-3.5431, 1.1993, -3.1189], [-4.1893, -2.4837, 0.0016], [-4.0767, 2.1023, 1.6371]],
  "species": ["Ir", "Pu", "Pt", "Tm"],
  "fractional_positions": [[0.7500, 0.7500, 0.7500], [0.0000, 0.0000, 0.0000], [0.2500, 0.2500, 0.2500], [0.5000, 0.5000, 0.5000]]
}



(4)
{
  "formula": "ZrTlNi2",
  "functional": "PBE-GGA",
  "state": "optimized geometry",
  "final_energy_ev_per_atom": -5.618,
  "mass_density_kg_m3": 10277,
  "e_form_mev_per_atom": 1,
  "n_ef_per_ev_fu": 2.780,
  "lattice": [[-2.2343, 0.3103, 4.5170], [-1.5454, -4.5111, 1.6594], [4.3854, 1.7094, -1.8270]],
  "species": ["Tl", "Zr", "Ni", "Ni"],
  "fractional_positions": [[0.5000, 0.5000, 0.0000], [0.7500, 0.2500, 0.5000], [0.2500, 0.7500, 0.5000], [0.0000, 0.0000, 0.0000]]
}